Entry 1:
The following is a DFT calculation (PBE) of crystalline AcNd2Pt4 at its relaxed geometry.

Cell and atoms, written as POSCAR:
```
AcNd2Pt4
1.0
-2.0444 2.1915 9.6212
2.0444 -2.1915 9.6212
2.0444 2.1915 -9.6212
Ac Nd Pt
1 2 4
Direct
0.0000 0.0000 0.0000
0.3127 0.8127 0.5000
0.6873 0.1873 0.5000
0.1584 0.6584 0.5000
0.4307 0.4307 0.0000
0.5693 0.5693 0.0000
0.8416 0.3416 0.5000
```

Results
Formation energy from the elements, meV/atom: -1113.8
Total DFT energy (no corrections), eV per atom: -6.515
SG: Immm, No. 71


Entry 2:
The following is a DFT calculation (PBE) of crystalline AcNd3Pt2 at its relaxed geometry.

Cell and atoms, written as POSCAR:
```
AcNd3Pt2
1.0
4.9728 0.0000 0.0000
0.0000 9.2458 0.0000
0.0000 0.0000 7.5563
Ac Nd Pt
2 6 4
Direct
0.0000 0.0813 0.0000
0.0000 0.9187 0.5000
0.0000 0.3446 0.6372
0.0000 0.6554 0.1372
0.5000 0.1758 0.3548
0.5000 0.4168 0.9851
0.5000 0.5832 0.4851
0.5000 0.8242 0.8548
0.0000 0.3411 0.2411
0.0000 0.6589 0.7411
0.5000 0.1659 0.7438
0.5000 0.8341 0.2438
```

Results
E above lowest polymorph, eV/atom: 0.0000
Formation energy from the elements, meV/atom: -795.3
Total DFT energy (no corrections), eV per atom: -5.878
SG: Pmc2_1, No. 26